(1)
Computed, not measured: a relaxed NdPuCoAu crystal at the GGA-PBE level of DFT.

a = 5.0392 Å, b = 5.0392 Å, c = 5.0392 Å
α = 60.00°, β = 60.00°, γ = 60.00°
Closest atoms and distances in Å follow each position.
Atoms (fractional coordinates):
Nd 0.0000 0.0000 0.0000  4 Co 3.09, 4 Au 3.09
Pu 0.5000 0.5000 0.5000  4 Au 3.09, 4 Co 3.09
Co 0.2500 0.2500 0.2500  4 Pu 3.09, 4 Nd 3.09
Au 0.7500 0.7500 0.7500  4 Nd 3.09, 4 Pu 3.09

Values from the calculation:
As for the space-group type: F-43m. Its volume is 22.6 A^3/atom. Its total magnetic moment is 1.2581 μB per atom. The energy of formation is -0.153 eV per atom. Its energy is -7.52 eV per atom.

(2)
Computed, not measured: a relaxed NdScCoAu crystal at the GGA-PBE level of DFT.

a = 4.8979 Å, b = 4.8979 Å, c = 4.8979 Å
α = 60.00°, β = 60.00°, γ = 60.00°
Closest atoms and distances in Å follow each position.
Atoms (fractional coordinates):
Nd 0.0000 0.0000 0.0000  4 Au 3.00, 4 Co 3.00
Sc 0.5000 0.5000 0.5000  4 Co 3.00, 4 Au 3.00
Co 0.2500 0.2500 0.2500  4 Nd 3.00, 4 Sc 3.00
Au 0.7500 0.7500 0.7500  4 Nd 3.00, 4 Sc 3.00

Values from the calculation:
As for the space-group type: F-43m. Its volume is 20.8 A^3/atom. Its total magnetic moment is 0.1403 μB per atom. The energy of formation is -0.335 eV per atom. Its energy is -5.71 eV per atom.

(3)
Computed, not measured: a relaxed TbNdCoAu crystal at the GGA-PBE level of DFT.

a = 5.0331 Å, b = 5.0331 Å, c = 5.0331 Å
α = 60.00°, β = 60.00°, γ = 60.00°
Closest atoms and distances in Å follow each position.
Atoms (fractional coordinates):
Tb 0.0000 0.0000 0.0000  4 Co 3.08, 4 Au 3.08
Nd 0.5000 0.5000 0.5000  4 Au 3.08, 4 Co 3.08
Co 0.2500 0.2500 0.2500  4 Nd 3.08, 4 Tb 3.08
Au 0.7500 0.7500 0.7500  4 Tb 3.08, 4 Nd 3.08

Values from the calculation:
As for the space-group type: F-43m. Its volume is 22.5 A^3/atom. Its total magnetic moment is 0.1368 μB per atom. The energy of formation is -0.356 eV per atom. Its energy is -5.30 eV per atom.